Crystalline Nd13Al2 at its relaxed geometry, computed with PBE-GGA.

Cell lengths 6.940, 8.660, 9.173 Å; angles 66.11, 78.82, 83.11 degrees
Fractional positions:
1 Nd 0.000 0.000 0.000
2 Nd 0.124 0.480 0.727
3 Nd 0.198 0.229 0.152
4 Nd 0.247 0.939 0.580
5 Nd 0.308 0.655 0.972
6 Nd 0.350 0.415 0.394
7 Nd 0.499 0.142 0.791
8 Nd 0.501 0.858 0.209
9 Nd 0.650 0.585 0.606
10 Nd 0.692 0.345 0.028
11 Nd 0.753 0.061 0.420
12 Nd 0.802 0.771 0.848
13 Nd 0.876 0.520 0.273
14 Al 0.059 0.771 0.377
15 Al 0.941 0.229 0.623

The total DFT energy (no corrections) comes out at -4.6817 eV/atom. As for the calculated formation energy: -0.76 eV per formula unit. As for the space group: P-1, No. 2.